Entry 1:
# Sm12ErSc7 (PBE-GGA, optimized geometry)
# Formation energy from the elements ... 0.2331 eV per atom
data_Sm12ErSc7
_chemical_formula_sum 'Sm36 Er3 Sc21'
_cell_length_a 12.1290
_cell_length_b 12.1290
_cell_length_c 14.7414
_cell_angle_alpha 90.00
_cell_angle_beta 90.00
_cell_angle_gamma 120.00
_symmetry_space_group_name_H-M 'R -3'
_symmetry_Int_Tables_number 148
_symmetry_space_group_name_Hall '-R 3'
loop_
_atom_site_label
_atom_site_fract_x
_atom_site_fract_y
_atom_site_fract_z
_atom_site_occupancy
Sm1 0.9995 0.4309 0.2940 1
Sm2 0.0276 0.8462 0.8070 1
Er1 0.0000 0.0000 0.5000 1
Sc1 0.0000 0.0000 0.0000 1
Sc2 0.0684 0.4745 0.0866 1

---

Entry 2:
# SmEr4Sc2 (PBE-GGA, optimized geometry)
# Relative energy among the computed polymorphs ... 0.7448 eV per atom
# Formation energy from the elements ... 0.7695 eV per atom
data_SmEr4Sc2
_chemical_formula_sum 'Sm2 Er8 Sc4'
_cell_length_a 5.5035
_cell_length_b 5.5035
_cell_length_c 15.7649
_cell_angle_alpha 90.00
_cell_angle_beta 90.00
_cell_angle_gamma 90.00
_symmetry_space_group_name_H-M 'I 4/m m m'
_symmetry_Int_Tables_number 139
_symmetry_space_group_name_Hall '-I 4 2'
loop_
_atom_site_label
_atom_site_fract_x
_atom_site_fract_y
_atom_site_fract_z
_atom_site_occupancy
Sm1 0.0000 0.0000 0.0000 1
Er1 0.0000 0.0000 0.1868 1
Er2 0.0000 0.5000 0.0000 1
Sc1 0.0000 0.0000 0.3937 1

---

Entry 3:
# SmEr4Sc7 (PBE-GGA, optimized geometry)
# Formation energy from the elements ... 0.2708 eV per atom
data_SmEr4Sc7
_chemical_formula_sum 'Sm2 Er8 Sc14'
_cell_length_a 11.3248
_cell_length_b 5.5391
_cell_length_c 12.0559
_cell_angle_alpha 90.00
_cell_angle_beta 116.46
_cell_angle_gamma 90.00
_symmetry_space_group_name_H-M 'C 1 2/m 1'
_symmetry_Int_Tables_number 12
_symmetry_space_group_name_Hall '-C 2y'
loop_
_atom_site_label
_atom_site_fract_x
_atom_site_fract_y
_atom_site_fract_z
_atom_site_occupancy
Sm1 0.0000 0.0000 0.0000 1
Er1 0.0898 0.5000 0.3013 1
Er2 0.1383 0.0000 0.7742 1
Sc1 0.0000 0.5000 0.0000 1
Sc2 0.1266 0.0000 0.4832 1
Sc3 0.1609 0.5000 0.6234 1
Sc4 0.2080 0.5000 0.9168 1

---

Entry 4:
# Sm8Er2Sc3 (PBE-GGA, optimized geometry)
# Formation energy from the elements ... 0.2081 eV per atom
data_Sm8Er2Sc3
_chemical_formula_sum 'Sm16 Er4 Sc6'
_cell_length_a 19.6509
_cell_length_b 7.5936
_cell_length_c 5.5735
_cell_angle_alpha 90.00
_cell_angle_beta 90.03
_cell_angle_gamma 90.00
_symmetry_space_group_name_H-M 'C 1 2/m 1'
_symmetry_Int_Tables_number 12
_symmetry_space_group_name_Hall '-C 2y'
loop_
_atom_site_label
_atom_site_fract_x
_atom_site_fract_y
_atom_site_fract_z
_atom_site_occupancy
Sm1 0.1011 0.2051 0.0003 1
Sm2 0.1250 0.5000 0.4996 1
Sm3 0.1701 0.0000 0.5008 1
Er1 0.2385 0.5000 0.9990 1
Sc1 0.0000 0.2052 0.5000 1
Sc2 0.0000 0.5000 0.0000 1